Record 1
CeY2Bi | Alexandria via LeMat-Bulk | PBE-GGA | optimized geometry; magnetic moment = 1.5 Bohr magnetons per cell; volume = 31.17 Å³ per atom; total DFT energy (no corrections) = -5.830 eV per atom; crystal system = trigonal
1.0
1.814 1.047 10.935
-1.814 1.047 10.935
0.000 -2.095 10.935
Ce Y Bi
1 2 1
direct
0.000 0.000 0.000 Ce
0.245 0.245 0.245 Y
0.421 0.421 0.421 Y
0.833 0.833 0.833 Bi

Record 2
Ce3Y5Bi8 | Alexandria via LeMat-Bulk | PBE-GGA | optimized geometry; magnetic moment = 2.5 Bohr magnetons per cell; volume = 32.85 Å³ per atom; total DFT energy (no corrections) = -5.932 eV per atom; crystal system = trigonal
1.0
4.532 2.617 7.386
-4.532 2.617 7.386
0.000 -5.233 7.386
Ce Y Bi
3 5 8
direct
0.000 0.500 0.500 Ce
0.500 0.000 0.500 Ce
0.500 0.500 0.000 Ce
0.000 0.000 0.000 Y
0.000 0.000 0.500 Y
0.000 0.500 0.000 Y
0.500 0.000 0.000 Y
0.500 0.500 0.500 Y
0.246 0.750 0.750 Bi
0.248 0.248 0.248 Bi
0.250 0.250 0.754 Bi
0.250 0.754 0.250 Bi
0.750 0.246 0.750 Bi
0.750 0.750 0.246 Bi
0.752 0.752 0.752 Bi
0.754 0.250 0.250 Bi

Record 3
CeY2Bi | Alexandria via LeMat-Bulk | PBE-GGA | optimized geometry; magnetic moment = 0.5 Bohr magnetons per cell; volume = 29.58 Å³ per atom; total DFT energy (no corrections) = -6.003 eV per atom; crystal system = tetragonal
1.0
3.998 0.000 0.000
0.000 3.998 0.000
0.000 0.000 7.400
Ce Y Bi
1 2 1
direct
0.000 0.000 0.000 Ce
0.500 0.500 0.271 Y
0.500 0.500 0.729 Y
0.000 0.000 0.500 Bi

Record 4
CeYBi2 | Alexandria via LeMat-Bulk | PBE-GGA | optimized geometry; magnetic moment = 0.9 Bohr magnetons per cell; volume = 33.16 Å³ per atom; total DFT energy (no corrections) = -5.887 eV per atom; crystal system = trigonal
1.0
2.274 1.313 7.407
-2.274 1.313 7.407
0.000 -2.625 7.407
Ce Y Bi
1 1 2
direct
0.000 0.000 0.000 Ce
0.500 0.500 0.500 Y
0.248 0.248 0.248 Bi
0.752 0.752 0.752 Bi

Record 5
CeYBi2 | Alexandria via LeMat-Bulk | PBE-GGA | optimized geometry; magnetic moment = 1.0 Bohr magnetons per cell; volume = 29.71 Å³ per atom; total DFT energy (no corrections) = -5.692 eV per atom; crystal system = tetragonal
1.0
5.885 0.000 0.000
0.000 5.885 0.000
0.000 0.000 3.431
Ce Y Bi
1 1 2
direct
0.000 0.000 0.000 Ce
0.500 0.500 0.000 Y
0.000 0.500 0.500 Bi
0.500 0.000 0.500 Bi

Record 6
CeY2Bi | Alexandria via LeMat-Bulk | PBE-GGA | optimized geometry; magnetic moment = 0.6 Bohr magnetons per cell; volume = 28.89 Å³ per atom; total DFT energy (no corrections) = -6.022 eV per atom; crystal system = tetragonal
1.0
4.962 0.000 0.000
0.000 4.962 0.000
0.000 0.000 4.695
Ce Y Bi
1 2 1
direct
0.000 0.000 0.000 Ce
0.000 0.500 0.500 Y
0.500 0.000 0.500 Y
0.500 0.500 0.000 Bi

Record 7
Ce2YBi | Alexandria via LeMat-Bulk | PBE-GGA | optimized geometry; magnetic moment = 1.3 Bohr magnetons per cell; volume = 28.10 Å³ per atom; total DFT energy (no corrections) = -5.926 eV per atom; crystal system = tetragonal
1.0
4.619 0.000 0.000
0.000 4.619 0.000
0.000 0.000 5.268
Ce Y Bi
2 1 1
direct
0.000 0.500 0.000 Ce
0.500 0.000 0.000 Ce
0.000 0.000 0.500 Y
0.500 0.500 0.500 Bi

Record 8
CeY3Bi4 | Alexandria via LeMat-Bulk | PBE-GGA | optimized geometry; magnetic moment = 0.8 Bohr magnetons per cell; volume = 32.52 Å³ per atom; total DFT energy (no corrections) = -5.977 eV per atom; crystal system = orthorhombic
1.0
4.512 -6.381 0.000
4.512 6.381 0.000
0.000 0.000 4.519
Ce Y Bi
1 3 4
direct
0.000 0.000 0.000 Ce
0.000 0.500 0.500 Y
0.500 0.000 0.500 Y
0.500 0.500 0.000 Y
0.252 0.748 0.000 Bi
0.254 0.254 0.500 Bi
0.746 0.746 0.500 Bi
0.748 0.252 0.000 Bi

Record 9
Ce5YBi3 | Alexandria via LeMat-Bulk | PBE-GGA | optimized geometry; magnetic moment = 13.2 Bohr magnetons per cell; volume = 29.79 Å³ per atom; total DFT energy (no corrections) = -5.756 eV per atom; crystal system = hexagonal
1.0
9.666 0.000 0.000
-4.833 8.371 0.000
0.000 0.000 6.628
Ce Y Bi
10 2 6
direct
0.000 0.337 0.250 Ce
0.000 0.663 0.750 Ce
0.333 0.667 0.000 Ce
0.333 0.667 0.500 Ce
0.337 0.000 0.250 Ce
0.337 0.337 0.750 Ce
0.663 0.000 0.750 Ce
0.663 0.663 0.250 Ce
0.667 0.333 0.000 Ce
0.667 0.333 0.500 Ce
0.000 0.000 0.000 Y
0.000 0.000 0.500 Y
0.000 0.331 0.750 Bi
0.000 0.669 0.250 Bi
0.331 0.000 0.750 Bi
0.331 0.331 0.250 Bi
0.669 0.000 0.250 Bi
0.669 0.669 0.750 Bi

Record 10
Ce2YBi3 | Alexandria via LeMat-Bulk | PBE-GGA | optimized geometry; magnetic moment = 1.7 Bohr magnetons per cell; volume = 33.61 Å³ per atom; total DFT energy (no corrections) = -5.820 eV per atom; crystal system = orthorhombic
1.0
-2.283 3.230 6.839
2.283 -3.230 6.839
2.283 3.230 -6.839
Ce Y Bi
2 1 3
direct
0.168 0.168 0.000 Ce
0.832 0.832 0.000 Ce
0.500 0.500 0.000 Y
0.000 0.500 0.500 Bi
0.336 0.836 0.500 Bi
0.664 0.164 0.500 Bi

Record 11
Ce2YBi | Alexandria via LeMat-Bulk | PBE-GGA | optimized geometry; magnetic moment = 0.0 Bohr magnetons per cell; volume = 28.52 Å³ per atom; total DFT energy (no corrections) = -5.996 eV per atom; crystal system = monoclinic
1.0
4.482 0.000 0.000
0.000 4.379 0.000
-2.155 0.000 11.625
Ce Y Bi
4 2 2
direct
0.001 0.250 0.384 Ce
0.402 0.750 0.389 Ce
0.598 0.250 0.611 Ce
0.999 0.750 0.616 Ce
0.304 0.250 0.111 Y
0.696 0.750 0.889 Y
0.176 0.250 0.837 Bi
0.824 0.750 0.163 Bi

Record 12
CeZn4Bi | Alexandria via LeMat-Bulk | PBE-GGA | optimized geometry; magnetic moment = 0.9 Bohr magnetons per cell; volume = 20.90 Å³ per atom; total DFT energy (no corrections) = -2.570 eV per atom; crystal system = cubic
1.0
0.000 3.973 3.973
3.973 0.000 3.973
3.973 3.973 0.000
Ce Zn Bi
1 4 1
direct
0.000 0.000 0.000 Ce
0.125 0.625 0.625 Zn
0.625 0.125 0.625 Zn
0.625 0.625 0.125 Zn
0.625 0.625 0.625 Zn
0.250 0.250 0.250 Bi

Record 13
Ce5ZnBi3 | Alexandria via LeMat-Bulk | PBE-GGA | optimized geometry; magnetic moment = 13.1 Bohr magnetons per cell; volume = 29.02 Å³ per atom; total DFT energy (no corrections) = -5.328 eV per atom; crystal system = hexagonal
1.0
9.633 0.000 0.000
-4.817 8.343 0.000
0.000 0.000 6.500
Ce Zn Bi
10 2 6
direct
0.000 0.269 0.250 Ce
0.000 0.731 0.750 Ce
0.269 0.000 0.250 Ce
0.269 0.269 0.750 Ce
0.333 0.667 0.000 Ce
0.333 0.667 0.500 Ce
0.667 0.333 0.000 Ce
0.667 0.333 0.500 Ce
0.731 0.000 0.750 Ce
0.731 0.731 0.250 Ce
0.000 0.000 0.000 Zn
0.000 0.000 0.500 Zn
0.000 0.378 0.750 Bi
0.000 0.622 0.250 Bi
0.378 0.000 0.750 Bi
0.378 0.378 0.250 Bi
0.622 0.000 0.250 Bi
0.622 0.622 0.750 Bi

Record 14
Ce4ZnBi | Alexandria via LeMat-Bulk | PBE-GGA | optimized geometry; magnetic moment = 1.8 Bohr magnetons per cell; volume = 24.84 Å³ per atom; total DFT energy (no corrections) = -4.981 eV per atom; crystal system = orthorhombic
1.0
-2.695 3.101 4.460
2.695 -3.101 4.460
2.695 3.101 -4.460
Ce Zn Bi
4 1 1
direct
0.085 0.848 0.237 Ce
0.389 0.152 0.237 Ce
0.611 0.848 0.763 Ce
0.915 0.152 0.763 Ce
0.000 0.500 0.500 Zn
0.500 0.500 0.000 Bi

Record 15
CeZrBi | Alexandria via LeMat-Bulk | PBE-GGA | optimized geometry; magnetic moment = 1.8 Bohr magnetons per cell; volume = 27.45 Å³ per atom; total DFT energy (no corrections) = -6.184 eV per atom; crystal system = trigonal
1.0
5.248 0.000 0.000
-2.624 4.545 0.000
0.000 0.000 6.905
Ce Zr Bi
2 2 2
direct
0.333 0.667 0.371 Ce
0.667 0.333 0.629 Ce
0.333 0.667 0.920 Zr
0.667 0.333 0.080 Zr
0.000 0.000 0.233 Bi
0.000 0.000 0.767 Bi

Record 16
CeZr2Bi | Alexandria via LeMat-Bulk | PBE-GGA | optimized geometry; magnetic moment = 0.0 Bohr magnetons per cell; volume = 24.38 Å³ per atom; total DFT energy (no corrections) = -6.928 eV per atom; crystal system = tetragonal
1.0
4.783 0.000 0.000
0.000 4.783 0.000
0.000 0.000 4.262
Ce Zr Bi
1 2 1
direct
0.000 0.000 0.000 Ce
0.000 0.500 0.500 Zr
0.500 0.000 0.500 Zr
0.500 0.500 0.000 Bi

Record 17
CeZr2Bi2 | Alexandria via LeMat-Bulk | PBE-GGA | optimized geometry; magnetic moment = 1.3 Bohr magnetons per cell; volume = 29.13 Å³ per atom; total DFT energy (no corrections) = -6.339 eV per atom; crystal system = monoclinic
1.0
5.007 -6.101 0.000
5.007 6.101 0.000
-3.420 0.000 4.768
Ce Zr Bi
2 4 4
direct
0.089 0.911 0.750 Ce
0.911 0.089 0.250 Ce
0.237 0.397 0.065 Zr
0.397 0.237 0.565 Zr
0.603 0.763 0.435 Zr
0.763 0.603 0.935 Zr
0.197 0.803 0.250 Bi
0.364 0.636 0.750 Bi
0.636 0.364 0.250 Bi
0.803 0.197 0.750 Bi

Record 18
CeZr2Bi | Alexandria via LeMat-Bulk | PBE-GGA | optimized geometry; magnetic moment = 0.0 Bohr magnetons per cell; volume = 24.08 Å³ per atom; total DFT energy (no corrections) = -6.756 eV per atom; crystal system = trigonal
1.0
2.575 1.487 4.194
-2.575 1.487 4.194
0.000 -2.973 4.194
Ce Zr Bi
1 2 1
direct
0.000 0.000 0.000 Ce
0.241 0.241 0.241 Zr
0.759 0.759 0.759 Zr
0.500 0.500 0.500 Bi

Record 19
CeZrBi3 | Alexandria via LeMat-Bulk | PBE-GGA | optimized geometry; magnetic moment = 3.5 Bohr magnetons per cell; volume = 29.96 Å³ per atom; total DFT energy (no corrections) = -5.702 eV per atom; crystal system = orthorhombic
1.0
13.713 0.000 0.000
0.000 6.660 0.000
0.000 0.000 6.561
Ce Zr Bi
4 4 12
direct
0.183 0.012 0.250 Ce
0.183 0.488 0.750 Ce
0.817 0.512 0.250 Ce
0.817 0.988 0.750 Ce
0.407 0.750 0.000 Zr
0.407 0.750 0.500 Zr
0.593 0.250 0.000 Zr
0.593 0.250 0.500 Zr
0.003 0.750 0.000 Bi
0.003 0.750 0.500 Bi
0.255 0.513 0.250 Bi
0.255 0.987 0.750 Bi
0.419 0.124 0.250 Bi
0.419 0.376 0.750 Bi
0.581 0.624 0.250 Bi
0.581 0.876 0.750 Bi
0.745 0.013 0.250 Bi
0.745 0.487 0.750 Bi
0.997 0.250 0.000 Bi
0.997 0.250 0.500 Bi

Record 20
CeZrBi | Alexandria via LeMat-Bulk | PBE-GGA | optimized geometry; magnetic moment = 0.9 Bohr magnetons per cell; volume = 28.56 Å³ per atom; total DFT energy (no corrections) = -6.197 eV per atom; crystal system = monoclinic
1.0
4.556 -2.516 0.000
4.556 2.516 0.000
-2.223 0.000 7.475
Ce Zr Bi
2 2 2
direct
0.000 0.000 0.000 Ce
0.214 0.214 0.820 Ce
0.093 0.093 0.401 Zr
0.381 0.381 0.211 Zr
0.484 0.484 0.619 Bi
0.714 0.714 0.211 Bi